Entry 1:
Material: PrSmNO
Method: DFT, PBE
State: relaxed

Calculated values
Energy in eV for the cell shown: -60.90

a = 3.9657 Å, b = 6.9010 Å, c = 5.8883 Å
α = 90.00°, β = 90.00°, γ = 90.00°
Space group Pmc2_1 (No. 26)
Inequivalent atoms, fractional coordinates:
1 Pr 0.0000 0.1608 0.0000 x2
2 Sm 0.5000 0.3311 0.5042 x2
3 N 0.0000 0.1743 0.4103 x2
4 O 0.5000 0.3463 0.8929 x2

***

Entry 2:
Material: PrSmNO
Method: DFT, PBE
State: relaxed

Calculated values
Energy in eV for the cell shown: -123.23

a = 8.3660 Å, b = 7.0202 Å, c = 5.1516 Å
α = 90.00°, β = 90.00°, γ = 90.00°
Space group Pbcm (No. 57)
Inequivalent atoms, fractional coordinates:
1 Pr 0.1282 0.0821 0.2500 x4
2 Sm 0.3786 0.5762 0.2500 x4
3 N 0.1314 0.0681 0.7500 x4
4 O 0.3778 0.5953 0.7500 x4